Entry 1:
! PBE TcBAu3, relaxed; values from VASP
&SYSTEM
  ibrav = 0, nat = 5, ntyp = 3
/
ATOMIC_SPECIES
Tc 98.00 Tc.upf
B 10.81 B.upf
Au 196.97 Au.upf
CELL_PARAMETERS angstrom
4.324 0.000 0.000
0.000 4.324 0.000
0.000 0.000 4.324
ATOMIC_POSITIONS crystal
Tc 0.000 0.000 0.000
B 0.500 0.500 0.500
Au 0.000 0.500 0.500
Au 0.500 0.000 0.500
Au 0.500 0.500 0.000
! Total moment = 0.00 μB per atom
! ΔE to the lowest computed polymorph = 0.00 eV per formula unit
! SG = No. 221


Entry 2:
! PBE TcB3Au, relaxed; values from VASP
&SYSTEM
  ibrav = 0, nat = 5, ntyp = 3
/
ATOMIC_SPECIES
Tc 98.00 Tc.upf
B 10.81 B.upf
Au 196.97 Au.upf
CELL_PARAMETERS angstrom
4.104 0.000 0.000
0.000 4.104 0.000
0.000 0.000 4.104
ATOMIC_POSITIONS crystal
Tc 0.000 0.000 0.000
B 0.000 0.000 0.500
B 0.000 0.500 0.000
B 0.500 0.000 0.000
Au 0.500 0.500 0.500
! Total moment = 0.00 μB per atom
! ΔE to the lowest computed polymorph = 0.00 eV per formula unit
! SG = No. 221


What did the first record say?
! PBE TcBAu3, relaxed; values from VASP
&SYSTEM
  ibrav = 0, nat = 5, ntyp = 3
/
ATOMIC_SPECIES
Tc 98.00 Tc.upf
B 10.81 B.upf
Au 196.97 Au.upf
CELL_PARAMETERS angstrom
4.324 0.000 0.000
0.000 4.324 0.000
0.000 0.000 4.324
ATOMIC_POSITIONS crystal
Tc 0.000 0.000 0.000
B 0.500 0.500 0.500
Au 0.000 0.500 0.500
Au 0.500 0.000 0.500
Au 0.500 0.500 0.000
! Total moment = 0.00 μB per atom
! ΔE to the lowest computed polymorph = 0.00 eV per formula unit
! SG = No. 221


Q: What is the formula in the first record?
A: TcBAu3